No. 1
Tl2CoAs | GGA-PBEsol | relaxed

a = 4.8515 Å, b = 4.8515 Å, c = 4.8515 Å
α = 60.00°, β = 60.00°, γ = 60.00°
Site moments in Bohr magnetons follow the coordinates.
Positions (direct):
Tl: 0.7500 0.7500 0.7500  0.00
Tl: 0.2500 0.2500 0.2500  0.00
Co: 0.5000 0.5000 0.5000  1.46
As: 0.0000 0.0000 0.0000  0.02

DOS(E_F), states/eV/f.u.: 4.89
Energy, eV/cell: -15.5
ΔH_f (0 K), eV/atom: 0.660
Distance to the lowest polymorph of the same formula, kJ/mol of formula units: 39

---

No. 2
VCoAs | GGA-PBEsol | relaxed

a = 3.6671 Å, b = 5.9131 Å, c = 6.8407 Å
α = 90.00°, β = 90.00°, γ = 90.00°
Site moments in Bohr magnetons follow the coordinates.
Positions (direct):
V: 0.7500 0.4708 0.1788  0.59
V: 0.2500 0.5292 0.8212  0.59
V: 0.2500 0.0292 0.6788  0.59
V: 0.7500 0.9708 0.3212  0.59
Co: 0.7500 0.3585 0.5595  0.12
Co: 0.2500 0.6415 0.4405  0.12
Co: 0.2500 0.1415 0.0595  0.12
Co: 0.7500 0.8585 0.9405  0.12
As: 0.7500 0.2419 0.8774  -0.01
As: 0.2500 0.7581 0.1226  -0.01
As: 0.2500 0.2581 0.3774  -0.01
As: 0.7500 0.7419 0.6226  -0.01

DOS(E_F), states/eV/f.u.: 2.40
Energy, eV/cell: -95.8
ΔH_f (0 K), eV/atom: -0.494

---

No. 3
CoAsW | GGA-PBEsol | relaxed

a = 2.7833 Å, b = 3.1150 Å, c = 5.0382 Å
α = 108.01°, β = 106.03°, γ = 90.00°
Positions (direct):
As: 0.0142 0.0142 0.0285
Co: 0.6563 0.6563 0.3126
W: 0.3295 0.3295 0.6590

DOS(E_F), states/eV/f.u.: 2.01
Energy, eV/cell: -26.1
ΔH_f (0 K), eV/atom: 0.168

---

No. 4
CoAsW3 | GGA-PBEsol | relaxed

a = 4.5128 Å, b = 4.5128 Å, c = 4.5128 Å
α = 90.00°, β = 90.00°, γ = 90.00°
Site moments in Bohr magnetons follow the coordinates.
Positions (direct):
As: 0.0000 0.0000 0.0000  0.02
Co: 0.5000 0.5000 0.5000  1.91
W: 0.0000 0.5000 0.0000  0.03
W: 0.0000 0.0000 0.5000  0.03
W: 0.5000 0.0000 0.0000  0.03

DOS(E_F), states/eV/f.u.: 7.18
Energy, eV/cell: -44.3
ΔH_f (0 K), eV/atom: 1.986

---

No. 5
YCoAs2 | GGA-PBEsol | relaxed

a = 3.7433 Å, b = 4.2910 Å, c = 4.2860 Å
α = 90.00°, β = 90.00°, γ = 90.00°
Site moments in Bohr magnetons follow the coordinates.
Positions (direct):
Y: 0.5000 0.0000 0.5000  -0.01
As: 0.0000 0.0000 0.0000  0.01
As: 0.0000 0.5000 0.5000  0.01
Co: 0.5000 0.5000 0.0000  1.22

DOS(E_F), states/eV/f.u.: 4.59
Energy, eV/cell: -26.3
ΔH_f (0 K), eV/atom: -0.371

---

No. 6
Y2CoAs | GGA-PBEsol | relaxed

a = 3.8676 Å, b = 3.9965 Å, c = 5.5782 Å
α = 90.00°, β = 110.28°, γ = 90.00°
Positions (direct):
Y: 0.1132 0.0000 0.2265
Y: 0.3944 0.5000 0.7888
As: 0.8220 0.0000 0.6439
Co: 0.6768 0.5000 0.3535

DOS(E_F), states/eV/f.u.: 3.24
Energy, eV/cell: -29.8
ΔH_f (0 K), eV/atom: -0.831

---

No. 7
Y2CoAs | GGA-PBEsol | relaxed

a = 3.5009 Å, b = 3.5009 Å, c = 6.5435 Å
α = 90.00°, β = 90.00°, γ = 90.00°
Site moments in Bohr magnetons follow the coordinates.
Positions (direct):
Y: 0.0000 0.0000 0.7465  -0.12
Y: 0.0000 0.0000 0.2535  -0.12
As: 0.5000 0.5000 0.0000  0.03
Co: 0.5000 0.5000 0.5000  1.07

DOS(E_F), states/eV/f.u.: 1.59
Energy, eV/cell: -28.9
ΔH_f (0 K), eV/atom: -0.606

---

No. 8
YCo4As | GGA-PBEsol | relaxed

a = 4.8693 Å, b = 4.8693 Å, c = 4.8693 Å
α = 60.00°, β = 60.00°, γ = 60.00°
Site moments in Bohr magnetons follow the coordinates.
Positions (direct):
As: 0.0000 0.0000 0.0000  0.08
Co: 0.3745 0.3745 0.3745  1.56
Co: 0.3745 0.3745 0.8766  1.56
Co: 0.8766 0.3745 0.3745  1.56
Co: 0.3745 0.8766 0.3745  1.56
Y: 0.7500 0.7500 0.7500  -0.26

DOS(E_F), states/eV/f.u.: 7.30
Energy, eV/cell: -43.3
ΔH_f (0 K), eV/atom: -0.079

---

- Which value of energy does entry 6 give?
  -29.8 eV/cell